Entry 1:
CdRePt2, optimized geometry, DFT PBE; crystal system = orthorhombic; uncorrected energy = -6.351 eV per atom; space group = Pmmm, No. 47; energy of formation from the pure elements = 0.01 eV per atom
1.0
3.997 0.000 0.000
0.000 2.814 0.008
0.000 2.799 5.813
Re Pt Cd
1 2 1
Direct
0.500 0.250 0.250
0.000 0.979 0.021
0.000 0.521 0.479
0.500 0.750 0.750



Entry 2:
BaZn2F8, optimized geometry, DFT PBE; crystal system = orthorhombic; uncorrected energy = -3.925 eV per atom; space group = Immm, No. 71; raw formation energy = -2.1575 eV/atom
1.0
3.911 -0.022 -1.174
-0.602 5.876 -2.119
0.089 -0.667 7.417
Zn Ba F
2 1 8
Direct
0.263 0.763 0.525
0.737 0.237 0.475
0.000 0.000 0.000
0.616 0.924 0.233
0.384 0.691 0.767
0.779 0.779 0.558
0.221 0.221 0.442
0.616 0.309 0.233
0.384 0.076 0.767
0.118 0.619 0.237
0.882 0.381 0.763



Entry 3:
TbCe2Th3Te6, optimized geometry, DFT PBE; crystal system = monoclinic; uncorrected energy = -5.979 eV per atom; space group = C2/m, No. 12; raw formation energy = -1.1786 eV/atom
1.0
4.378 0.000 0.000
0.000 9.064 0.034
-2.189 -2.913 9.419
Tb Ce Th Te
1 2 3 6
Direct
0.500 0.000 0.000
0.833 0.667 0.666
0.167 0.333 0.334
0.500 0.500 0.000
0.832 0.168 0.664
0.168 0.832 0.336
0.337 0.919 0.674
0.667 0.579 0.335
0.663 0.081 0.326
0.000 0.242 0.999
0.000 0.758 0.001
0.333 0.421 0.665



Entry 4:
ZrHPb3, optimized geometry, DFT PBE; crystal system = cubic; uncorrected energy = -3.847 eV per atom; space group = Pm-3m, No. 221
1.0
5.687 0.000 0.000
0.000 5.687 0.000
0.000 0.000 5.687
Pb H Zr
3 1 1
Direct
0.000 0.500 0.000
0.000 0.000 0.500
0.500 0.000 0.000
0.500 0.500 0.500
0.000 0.000 0.000



Entry 5:
LiEr2Zr, optimized geometry, DFT PBE; crystal system = trigonal; uncorrected energy = -4.794 eV per atom; space group = R-3m, No. 166; energy of formation from the pure elements = 0.10 eV per atom
1.0
3.351 0.000 0.000
1.676 2.902 0.000
1.676 0.967 10.971
Li Zr Er
1 1 2
Direct
0.500 0.500 0.500
0.000 0.000 0.000
0.747 0.747 0.760
0.253 0.253 0.240



Entry 6:
GaFe8Ge2, optimized geometry, DFT PBE; crystal system = orthorhombic; uncorrected energy = -7.294 eV per atom; space group = Immm, No. 71; energy of formation from the pure elements = -0.02 eV per atom
1.0
3.554 0.000 -1.079
-0.833 6.166 -2.742
0.095 -0.755 6.702
Ge Fe Ga
2 8 1
Direct
0.177 0.677 0.354
0.823 0.323 0.646
0.661 0.899 0.322
0.339 0.576 0.678
0.160 0.160 0.321
0.000 0.279 0.000
0.840 0.840 0.679
0.661 0.424 0.322
0.339 0.101 0.678
0.000 0.721 0.000
0.500 0.000 0.000



Entry 7:
PrScTlPd, optimized geometry, DFT PBE; crystal system = cubic; uncorrected energy = -5.113 eV per atom; space group = F-43m, No. 216; energy of formation from the pure elements = -0.45 eV per atom
1.0
-0.975 -4.932 1.162
1.910 -3.773 -2.957
3.778 -3.023 1.794
Pr Sc Tl Pd
1 1 1 1
Direct
0.500 0.500 0.500
0.000 0.000 0.000
0.750 0.750 0.750
0.250 0.250 0.250



Entry 8:
Y2TmNi, optimized geometry, DFT PBE; crystal system = tetragonal; uncorrected energy = -5.933 eV per atom; space group = P4/mmm, No. 123; energy of formation from the pure elements = -0.14 eV per atom
1.0
-0.134 0.122 3.451
-1.095 -3.277 0.073
8.126 -2.706 0.412
Y Ni Tm
2 1 1
Direct
0.000 0.000 0.810
0.000 0.000 0.190
0.500 0.500 0.000
0.500 0.500 0.500



Entry 9:
Li2BeCdF6, optimized geometry, DFT PBE; crystal system = monoclinic; uncorrected energy = -4.758 eV per atom; space group = C2/c, No. 15; raw formation energy = -2.7884 eV/atom
1.0
6.449 0.145 0.151
2.259 6.295 0.620
2.259 0.386 6.314
Li Be Cd F
4 2 2 12
Direct
0.353 0.737 0.642
0.147 0.358 0.263
0.647 0.263 0.358
0.853 0.642 0.737
0.250 0.166 0.834
0.750 0.834 0.166
0.250 0.799 0.201
0.750 0.201 0.799
0.220 0.940 0.845
0.280 0.155 0.060
0.780 0.060 0.155
0.720 0.845 0.940
0.528 0.806 0.346
0.972 0.654 0.194
0.472 0.194 0.654
0.028 0.346 0.806
0.091 0.760 0.555
0.409 0.445 0.240
0.909 0.240 0.445
0.591 0.555 0.760



Entry 10:
MgVMo2, optimized geometry, DFT PBE; crystal system = tetragonal; uncorrected energy = -7.248 eV per atom; space group = I-42d, No. 122; energy of formation from the pure elements = 0.85 eV per atom
1.0
3.779 0.000 0.000
0.000 3.779 0.000
1.889 1.889 9.645
Mo Mg V
4 2 2
Direct
0.105 0.125 0.250
0.645 0.625 0.250
0.375 0.895 0.750
0.875 0.355 0.750
0.500 0.500 0.000
0.250 0.750 0.500
0.000 0.000 0.000
0.750 0.250 0.500



Entry 11:
GeH2Pd4, optimized geometry, DFT PBE; crystal system = monoclinic; uncorrected energy = -4.813 eV per atom; space group = Cc, No. 9
1.0
0.130 5.748 0.057
0.110 -2.849 -4.993
-6.174 -1.288 2.218
Ge H Pd
2 4 8
Direct
0.268 0.768 0.501
0.018 0.019 0.001
0.663 0.855 0.306
0.549 0.357 0.691
0.105 0.413 0.806
0.607 0.299 0.191
0.930 0.584 0.723
0.460 0.137 0.870
0.861 0.208 0.278
0.387 0.210 0.370
0.840 0.018 0.631
0.269 0.590 0.131
0.834 0.681 0.223
0.457 0.610 0.778



Entry 12:
HoEr6Sc8, optimized geometry, DFT PBE; crystal system = trigonal; uncorrected energy = -5.473 eV per atom; space group = R-3, No. 148; energy of formation from the pure elements = 0.03 eV per atom
1.0
13.657 -2.943 0.907
13.657 2.943 0.907
12.690 0.000 5.913
Ho Er Sc
1 6 8
Direct
0.000 0.000 0.000
0.069 0.734 0.403
0.266 0.597 0.931
0.597 0.931 0.266
0.403 0.069 0.734
0.734 0.403 0.069
0.931 0.266 0.597
0.197 0.864 0.531
0.136 0.469 0.803
0.469 0.803 0.136
0.667 0.667 0.667
0.333 0.333 0.333
0.531 0.197 0.864
0.864 0.531 0.197
0.803 0.136 0.469



Entry 13:
La6Ni2AuCl3, optimized geometry, DFT PBE; crystal system = monoclinic; uncorrected energy = -5.188 eV per atom; space group = C2/m, No. 12; raw formation energy = -1.0258 eV/atom
1.0
7.286 0.035 -0.007
-3.611 6.329 -0.007
-1.233 -2.134 7.326
La Ni Au Cl
6 2 1 3
Direct
0.929 0.574 0.779
0.716 0.716 0.217
0.071 0.426 0.221
0.574 0.929 0.779
0.284 0.284 0.783
0.426 0.071 0.221
0.333 0.667 0.000
0.667 0.333 0.000
0.000 0.000 0.000
0.160 0.840 0.500
0.840 0.160 0.500
0.500 0.500 0.500



Entry 14:
Sr2TaAl, optimized geometry, DFT PBE; crystal system = monoclinic; uncorrected energy = -3.901 eV per atom; space group = C2/m, No. 12; energy of formation from the pure elements = 0.84 eV per atom
1.0
5.960 0.005 0.008
5.067 3.138 0.008
0.931 0.265 5.724
Sr Al Ta
2 1 1
Direct
0.994 0.994 0.002
0.506 0.506 0.498
0.250 0.250 0.250
0.750 0.750 0.750



Entry 15:
PNCl3, optimized geometry, DFT PBE; crystal system = cubic; uncorrected energy = -2.481 eV per atom; space group = Pm-3m, No. 221; raw formation energy = 1.3741 eV/atom
1.0
-0.189 2.167 3.828
-3.564 -2.320 1.137
2.577 -3.050 1.854
P N Cl
1 1 3
Direct
0.500 0.500 0.500
0.000 0.000 0.000
0.000 0.500 0.000
0.000 0.000 0.500
0.500 0.000 0.000



Entry 16:
Mn3SbRu, optimized geometry, DFT PBE; crystal system = cubic; uncorrected energy = -7.239 eV per atom; space group = Pm-3m, No. 221; raw formation energy = 0.9423 eV/atom
1.0
4.731 0.000 0.000
0.000 4.731 0.000
0.000 0.000 4.731
Sb Mn Ru
1 3 1
Direct
0.500 0.500 0.500
0.000 0.500 0.000
0.000 0.000 0.500
0.500 0.000 0.000
0.000 0.000 0.000



Entry 17:
LaCuO3, optimized geometry, DFT PBE; crystal system = monoclinic; uncorrected energy = -6.726 eV per atom; space group = P2_1/c, No. 14; raw formation energy = -1.9466 eV/atom
1.0
19.348 0.000 0.450
0.000 5.077 0.000
-6.549 0.000 2.985
O Cu La
12 4 4
Direct
0.331 0.006 0.015
0.669 0.994 0.985
0.169 0.506 0.485
0.831 0.494 0.515
0.418 0.400 0.435
0.582 0.600 0.565
0.082 0.900 0.065
0.918 0.100 0.935
0.511 0.780 0.890
0.489 0.220 0.110
0.989 0.280 0.610
0.011 0.720 0.390
0.530 0.719 0.683
0.470 0.281 0.317
0.970 0.219 0.817
0.030 0.781 0.183
0.128 0.267 0.666
0.872 0.733 0.334
0.372 0.767 0.834
0.628 0.233 0.166



Entry 18:
InGe, optimized geometry, DFT PBE; crystal system = tetragonal; uncorrected energy = -3.536 eV per atom; space group = I4/m, No. 87; energy of formation from the pure elements = 0.14 eV per atom
1.0
8.355 0.000 0.000
0.000 8.355 0.000
0.000 0.000 5.583
In Ge
8 8
Direct
0.527 0.216 0.000
0.473 0.784 0.000
0.784 0.527 0.000
0.216 0.473 0.000
0.027 0.716 0.500
0.973 0.284 0.500
0.284 0.027 0.500
0.716 0.973 0.500
0.055 0.786 0.000
0.945 0.214 0.000
0.214 0.055 0.000
0.786 0.945 0.000
0.555 0.286 0.500
0.445 0.714 0.500
0.714 0.555 0.500
0.286 0.445 0.500



Entry 19:
EuScTlZn, optimized geometry, DFT PBE; crystal system = cubic; uncorrected energy = -5.313 eV per atom; space group = F-43m, No. 216; energy of formation from the pure elements = -0.25 eV per atom
1.0
5.208 0.000 0.000
2.604 4.510 0.000
2.604 1.503 4.252
Eu Sc Tl Zn
1 1 1 1
Direct
0.500 0.500 0.500
0.000 0.000 0.000
0.750 0.750 0.750
0.250 0.250 0.250



Entry 20:
K2Hg3S4, optimized geometry, DFT PBE; crystal system = orthorhombic; uncorrected energy = -2.727 eV per atom; space group = Pbcn, No. 60; raw formation energy = -0.5480 eV/atom
1.0
-1.507 2.117 -6.217
-10.486 -0.571 2.348
0.271 13.099 4.394
K Hg S
8 12 16
Direct
0.736 0.881 0.503
0.264 0.119 0.497
0.764 0.619 0.003
0.736 0.119 0.997
0.236 0.381 0.997
0.264 0.881 0.003
0.764 0.381 0.497
0.236 0.619 0.503
0.595 0.500 0.750
0.405 0.500 0.250
0.905 0.000 0.250
0.095 0.000 0.750
0.596 0.842 0.759
0.404 0.158 0.241
0.904 0.658 0.259
0.596 0.158 0.741
0.096 0.342 0.741
0.404 0.842 0.259
0.904 0.342 0.241
0.096 0.658 0.759
0.837 0.634 0.641
0.163 0.366 0.359
0.663 0.866 0.141
0.837 0.366 0.859
0.337 0.134 0.859
0.163 0.634 0.141
0.663 0.134 0.359
0.337 0.866 0.641
0.872 0.870 0.868
0.128 0.130 0.132
0.628 0.630 0.368
0.872 0.130 0.632
0.372 0.370 0.632
0.128 0.870 0.368
0.628 0.370 0.132
0.372 0.630 0.868